[1]
Here is a relaxed structure of LaMg2NbN4 from Alexandria via LeMat-Bulk. Energies are from PBE-GGA.

* density: 4.6 g/cm³
* raw formation energy: -1.09 eV per atom
* E: -120.39 eV/cell
* crystal system: orthorhombic

a = 7.419 Å, b = 6.014 Å, c = 5.499 Å
α = 90.00°, β = 90.00°, γ = 90.00°
Space group Pmn2_1 (No. 31)
Asymmetric unit:
La (0.000, 0.175, 0.000) (multiplicity 2)
Mg (0.249, 0.332, 0.515) (multiplicity 4)
Nb (0.000, 0.807, 0.521) (multiplicity 2)
N (0.000, 0.135, 0.464) (multiplicity 2)
N (0.000, 0.790, 0.877) (multiplicity 2)
N (0.218, 0.661, 0.396) (multiplicity 4)


[2]
Here is a relaxed structure of LaNd2MgN from Alexandria via LeMat-Bulk. Energies are from PBE-GGA.

* density: 5.8 g/cm³
* raw formation energy: -0.59 eV per atom
* E: -27.35 eV/cell
* crystal system: tetragonal

a = 5.098 Å, b = 5.098 Å, c = 5.145 Å
α = 90.00°, β = 90.00°, γ = 90.00°
Space group P4/mmm (No. 123)
Asymmetric unit:
La (0.000, 0.000, 0.000) (multiplicity 1)
Nd (0.000, 0.500, 0.500) (multiplicity 2)
Mg (0.500, 0.500, 0.000) (multiplicity 1)
N (0.000, 0.000, 0.500) (multiplicity 1)


[3]
Here is a relaxed structure of La2MgNiN from Alexandria via LeMat-Bulk. Energies are from PBE-GGA.

* density: 5.8 g/cm³
* raw formation energy: -0.45 eV per atom
* E: -27.78 eV/cell
* energy above the lowest structure with this stoichiometry: 44 meV per atom
* crystal system: tetragonal

a = 5.302 Å, b = 5.302 Å, c = 3.796 Å
α = 90.00°, β = 90.00°, γ = 90.00°
Space group P4/mmm (No. 123)
Asymmetric unit:
La (0.000, 0.500, 0.000) (multiplicity 2)
Mg (0.000, 0.000, 0.500) (multiplicity 1)
Ni (0.500, 0.500, 0.500) (multiplicity 1)
N (0.500, 0.500, 0.000) (multiplicity 1)


[4]
Here is a relaxed structure of La2MgNiN from Alexandria via LeMat-Bulk. Energies are from PBE-GGA.

* density: 5.8 g/cm³
* raw formation energy: -0.49 eV per atom
* E: -28.01 eV/cell
* energy above the lowest structure with this stoichiometry: 0 meV per atom
* crystal system: tetragonal

a = 5.093 Å, b = 5.093 Å, c = 4.144 Å
α = 90.00°, β = 90.00°, γ = 90.00°
Space group P4/mmm (No. 123)
Asymmetric unit:
La (0.000, 0.500, 0.000) (multiplicity 2)
Mg (0.000, 0.000, 0.500) (multiplicity 1)
Ni (0.500, 0.500, 0.500) (multiplicity 1)
N (0.000, 0.000, 0.000) (multiplicity 1)


[5]
Here is a relaxed structure of La2Mg3NpN6 from Alexandria via LeMat-Bulk. Energies are from PBE-GGA.

* density: 6.4 g/cm³
* raw formation energy: -1.00 eV per atom
* E: -179.02 eV/cell
* crystal system: monoclinic

a = 6.002 Å, b = 11.091 Å, c = 5.543 Å
α = 90.00°, β = 108.31°, γ = 90.00°
Space group C2/m (No. 12)
Asymmetric unit:
La (0.000, 0.170, 0.000) (multiplicity 4)
Mg (0.000, 0.000, 0.500) (multiplicity 2)
Mg (0.000, 0.370, 0.500) (multiplicity 4)
Np (0.000, 0.500, 0.000) (multiplicity 2)
N (0.212, 0.360, 0.240) (multiplicity 8)
N (0.240, 0.500, 0.763) (multiplicity 4)


[6]
Here is a relaxed structure of LaMgNO2 from Alexandria via LeMat-Bulk. Energies are from PBE-GGA.

* density: 4.0 g/cm³
* raw formation energy: -0.68 eV per atom
* E: -28.15 eV/cell
* crystal system: tetragonal

a = 4.454 Å, b = 4.454 Å, c = 4.423 Å
α = 90.00°, β = 90.00°, γ = 90.00°
Space group P4/mmm (No. 123)
Asymmetric unit:
La (0.000, 0.000, 0.000) (multiplicity 1)
Mg (0.500, 0.500, 0.500) (multiplicity 1)
N (0.000, 0.000, 0.500) (multiplicity 1)
O (0.000, 0.500, 0.000) (multiplicity 2)


[7]
Here is a relaxed structure of La6Mg2NO from Alexandria via LeMat-Bulk. Energies are from PBE-GGA.

* density: 5.6 g/cm³
* raw formation energy: -0.93 eV per atom
* E: -221.36 eV/cell
* crystal system: cubic

a = 10.287 Å, b = 10.287 Å, c = 10.287 Å
α = 90.00°, β = 90.00°, γ = 90.00°
Space group Fm-3m (No. 225)
Asymmetric unit:
La (0.000, 0.000, 0.248) (multiplicity 24)
Mg (0.250, 0.250, 0.250) (multiplicity 8)
N (0.000, 0.000, 0.000) (multiplicity 4)
O (0.000, 0.000, 0.500) (multiplicity 4)


[8]
Here is a relaxed structure of LaMgNO2 from Alexandria via LeMat-Bulk. Energies are from PBE-GGA.

* density: 5.5 g/cm³
* raw formation energy: -1.59 eV per atom
* E: -32.69 eV/cell
* crystal system: tetragonal

a = 3.979 Å, b = 3.979 Å, c = 4.003 Å
α = 90.00°, β = 90.00°, γ = 90.00°
Space group P4/mmm (No. 123)
Asymmetric unit:
La (0.000, 0.000, 0.000) (multiplicity 1)
Mg (0.500, 0.500, 0.500) (multiplicity 1)
N (0.500, 0.500, 0.000) (multiplicity 1)
O (0.000, 0.500, 0.500) (multiplicity 2)


[9]
Here is a relaxed structure of La2MgOs2N6 from Alexandria via LeMat-Bulk. Energies are from PBE-GGA.

* density: 7.6 g/cm³
* raw formation energy: -0.35 eV per atom
* E: -263.08 eV/cell
* crystal system: trigonal

a = 5.7773 Å, b = 5.7773 Å, c = 17.3402 Å
α = 90.00°, β = 90.00°, γ = 120.00°
Space group R-3m (No. 166, hexagonal axes)
Asymmetric unit:
La (0.0000, 0.0000, 0.2093) (multiplicity 6)
Mg (0.0000, 0.0000, 0.0000) (multiplicity 3)
Os (0.0000, 0.0000, 0.3977) (multiplicity 6)
N (0.0132, 0.5066, 0.7586) (multiplicity 18)


[10]
Here is a relaxed structure of La3MgP2N6 from Alexandria via LeMat-Bulk. Energies are from PBE-GGA.

* density: 5.6 g/cm³
* raw formation energy: -1.10 eV per atom
* E: -90.32 eV/cell
* crystal system: trigonal

a = 5.6334 Å, b = 5.6334 Å, c = 6.3680 Å
α = 90.00°, β = 90.00°, γ = 120.00°
Space group P-3m1 (No. 164)
Asymmetric unit:
La (0.0000, 0.0000, 0.0000) (multiplicity 1)
La (0.3333, 0.6667, 0.6516) (multiplicity 2)
Mg (0.0000, 0.0000, 0.5000) (multiplicity 1)
P (0.3333, 0.6667, 0.1949) (multiplicity 2)
N (0.1762, 0.3524, 0.2942) (multiplicity 6)


[11]
Here is a relaxed structure of La2MgPaN4 from Alexandria via LeMat-Bulk. Energies are from PBE-GGA.

* density: 7.7 g/cm³
* raw formation energy: -1.26 eV per atom
* E: -64.31 eV/cell
* crystal system: monoclinic

a = 5.919 Å, b = 3.630 Å, c = 6.239 Å
α = 90.00°, β = 108.00°, γ = 90.00°
Space group P2/m (No. 10)
Asymmetric unit:
La (0.000, 0.000, 0.000) (multiplicity 1)
La (0.500, 0.500, 0.000) (multiplicity 1)
Mg (0.000, 0.500, 0.500) (multiplicity 1)
Pa (0.500, 0.000, 0.500) (multiplicity 1)
N (0.265, 0.000, 0.727) (multiplicity 2)
N (0.267, 0.500, 0.285) (multiplicity 2)


[12]
Here is a relaxed structure of La3MgPa2N6 from Alexandria via LeMat-Bulk. Energies are from PBE-GGA.

* density: 8.4 g/cm³
* raw formation energy: -1.38 eV per atom
* E: -203.78 eV/cell
* crystal system: monoclinic

a = 6.106 Å, b = 10.586 Å, c = 6.345 Å
α = 90.00°, β = 108.64°, γ = 90.00°
Space group C2/m (No. 12)
Asymmetric unit:
La (0.000, 0.000, 0.000) (multiplicity 2)
La (0.000, 0.336, 0.000) (multiplicity 4)
Mg (0.000, 0.500, 0.500) (multiplicity 2)
Pa (0.000, 0.167, 0.500) (multiplicity 4)
N (0.221, 0.000, 0.709) (multiplicity 4)
N (0.245, 0.325, 0.711) (multiplicity 8)


[13]
Here is a relaxed structure of LaMgPbN2 from Alexandria via LeMat-Bulk. Energies are from PBE-GGA.

* density: 6.2 g/cm³
* raw formation energy: 1.15 eV per atom
* E: -21.12 eV/cell
* crystal system: tetragonal

a = 4.622 Å, b = 4.622 Å, c = 5.024 Å
α = 90.00°, β = 90.00°, γ = 90.00°
Space group P4/mmm (No. 123)
Asymmetric unit:
La (0.000, 0.000, 0.000) (multiplicity 1)
Mg (0.500, 0.500, 0.000) (multiplicity 1)
Pb (0.500, 0.500, 0.500) (multiplicity 1)
N (0.000, 0.500, 0.500) (multiplicity 2)


[14]
Here is a relaxed structure of La12MgPb4N3 from Alexandria via LeMat-Bulk. Energies are from PBE-GGA.

* density: 7.2 g/cm³
* raw formation energy: -0.61 eV per atom
* E: -225.58 eV/cell
* crystal system: cubic

a = 10.591 Å, b = 10.591 Å, c = 10.591 Å
α = 90.00°, β = 90.00°, γ = 90.00°
Space group Im-3m (No. 229)
Asymmetric unit:
La (0.000, 0.000, 0.278) (multiplicity 12)
La (0.000, 0.250, 0.500) (multiplicity 12)
Mg (0.000, 0.000, 0.000) (multiplicity 2)
Pb (0.250, 0.250, 0.250) (multiplicity 8)
N (0.000, 0.000, 0.500) (multiplicity 6)


[15]
Here is a relaxed structure of LaMg2PbN from Alexandria via LeMat-Bulk. Energies are from PBE-GGA.

* density: 6.3 g/cm³
* raw formation energy: -0.60 eV per atom
* E: -23.14 eV/cell
* crystal system: tetragonal

a = 4.626 Å, b = 4.626 Å, c = 5.005 Å
α = 90.00°, β = 90.00°, γ = 90.00°
Space group P4/mmm (No. 123)
Asymmetric unit:
La (0.000, 0.000, 0.000) (multiplicity 1)
Mg (0.000, 0.500, 0.500) (multiplicity 2)
Pb (0.500, 0.500, 0.000) (multiplicity 1)
N (0.000, 0.000, 0.500) (multiplicity 1)


[16]
Here is a relaxed structure of La2MgPbN from Alexandria via LeMat-Bulk. Energies are from PBE-GGA.

* density: 7.1 g/cm³
* raw formation energy: -0.79 eV per atom
* E: -27.46 eV/cell
* crystal system: tetragonal

a = 5.156 Å, b = 5.156 Å, c = 4.587 Å
α = 90.00°, β = 90.00°, γ = 90.00°
Space group P4/mmm (No. 123)
Asymmetric unit:
La (0.000, 0.500, 0.000) (multiplicity 2)
Mg (0.000, 0.000, 0.500) (multiplicity 1)
Pb (0.500, 0.500, 0.500) (multiplicity 1)
N (0.000, 0.000, 0.000) (multiplicity 1)


[17]
Here is a relaxed structure of La2MgPdN from Alexandria via LeMat-Bulk. Energies are from PBE-GGA.

* density: 6.4 g/cm³
* raw formation energy: -0.75 eV per atom
* E: -28.73 eV/cell
* crystal system: tetragonal

a = 5.119 Å, b = 5.119 Å, c = 4.209 Å
α = 90.00°, β = 90.00°, γ = 90.00°
Space group P4/mmm (No. 123)
Asymmetric unit:
La (0.000, 0.500, 0.000) (multiplicity 2)
Mg (0.000, 0.000, 0.500) (multiplicity 1)
Pd (0.500, 0.500, 0.500) (multiplicity 1)
N (0.000, 0.000, 0.000) (multiplicity 1)


[18]
Here is a relaxed structure of La2PrMgN from Alexandria via LeMat-Bulk. Energies are from PBE-GGA.

* density: 5.5 g/cm³
* raw formation energy: -0.60 eV per atom
* E: -27.53 eV/cell
* crystal system: tetragonal

a = 5.155 Å, b = 5.155 Å, c = 5.166 Å
α = 90.00°, β = 90.00°, γ = 90.00°
Space group P4/mmm (No. 123)
Asymmetric unit:
La (0.000, 0.500, 0.000) (multiplicity 2)
Pr (0.000, 0.000, 0.500) (multiplicity 1)
Mg (0.500, 0.500, 0.500) (multiplicity 1)
N (0.000, 0.000, 0.000) (multiplicity 1)


[19]
Here is a relaxed structure of LaMg2ReN4 from Alexandria via LeMat-Bulk. Energies are from PBE-GGA.

* density: 6.5 g/cm³
* raw formation energy: -0.60 eV per atom
* E: -234.51 eV/cell
* crystal system: orthorhombic

a = 3.341 Å, b = 11.927 Å, c = 10.997 Å
α = 90.00°, β = 90.00°, γ = 90.00°
Space group Cmcm (No. 63)
Asymmetric unit:
La (0.000, 0.066, 0.250) (multiplicity 4)
Mg (0.000, 0.388, 0.031) (multiplicity 8)
Re (0.000, 0.192, 0.750) (multiplicity 4)
N (0.000, 0.000, 0.000) (multiplicity 4)
N (0.000, 0.278, 0.615) (multiplicity 8)
N (0.000, 0.406, 0.250) (multiplicity 4)


[20]
Here is a relaxed structure of La2MgReN from Alexandria via LeMat-Bulk. Energies are from PBE-GGA.

* density: 7.5 g/cm³
* raw formation energy: -0.47 eV per atom
* E: -34.58 eV/cell
* crystal system: tetragonal

a = 5.332 Å, b = 5.332 Å, c = 3.931 Å
α = 90.00°, β = 90.00°, γ = 90.00°
Space group P4/mmm (No. 123)
Asymmetric unit:
La (0.000, 0.500, 0.000) (multiplicity 2)
Mg (0.000, 0.000, 0.500) (multiplicity 1)
Re (0.500, 0.500, 0.500) (multiplicity 1)
N (0.500, 0.500, 0.000) (multiplicity 1)


[21]
Here is a relaxed structure of LaMgS2N from Alexandria via LeMat-Bulk. Energies are from PBE-GGA.

* density: 4.1 g/cm³
* raw formation energy: -0.72 eV per atom
* E: -26.72 eV/cell
* energy above the lowest structure with this stoichiometry: 0 meV per atom
* crystal system: tetragonal

a = 4.907 Å, b = 4.907 Å, c = 4.056 Å
α = 90.00°, β = 90.00°, γ = 90.00°
Space group P4/mmm (No. 123)
Asymmetric unit:
La (0.000, 0.000, 0.000) (multiplicity 1)
Mg (0.500, 0.500, 0.500) (multiplicity 1)
S (0.000, 0.500, 0.500) (multiplicity 2)
N (0.500, 0.500, 0.000) (multiplicity 1)


[22]
Here is a relaxed structure of LaMgS2N from Alexandria via LeMat-Bulk. Energies are from PBE-GGA.

* density: 3.0 g/cm³
* raw formation energy: -0.04 eV per atom
* E: -23.31 eV/cell
* energy above the lowest structure with this stoichiometry: 682 meV per atom
* crystal system: tetragonal

a = 5.542 Å, b = 5.542 Å, c = 4.296 Å
α = 90.00°, β = 90.00°, γ = 90.00°
Space group P4/mmm (No. 123)
Asymmetric unit:
La (0.000, 0.000, 0.000) (multiplicity 1)
Mg (0.500, 0.500, 0.500) (multiplicity 1)
S (0.000, 0.500, 0.000) (multiplicity 2)
N (0.000, 0.000, 0.500) (multiplicity 1)


[23]
Here is a relaxed structure of La2Mg4Sb3N2 from Alexandria via LeMat-Bulk. Energies are from PBE-GGA.

* density: 5.0 g/cm³
* raw formation energy: -0.72 eV per atom
* E: -106.34 eV/cell
* crystal system: tetragonal

a = 4.519 Å, b = 4.519 Å, c = 24.934 Å
α = 90.00°, β = 90.00°, γ = 90.00°
Space group I4/mmm (No. 139)
Asymmetric unit:
La (0.000, 0.000, 0.182) (multiplicity 4)
Mg (0.000, 0.500, 0.076) (multiplicity 8)
Sb (0.000, 0.000, 0.326) (multiplicity 4)
Sb (0.000, 0.000, 0.500) (multiplicity 2)
N (0.000, 0.000, 0.092) (multiplicity 4)


[24]
Here is a relaxed structure of LaMgSeN2 from Alexandria via LeMat-Bulk. Energies are from PBE-GGA.

* density: 4.0 g/cm³
* raw formation energy: 0.32 eV per atom
* E: -25.03 eV/cell
* energy above the lowest structure with this stoichiometry: 298 meV per atom
* crystal system: tetragonal

a = 4.180 Å, b = 4.180 Å, c = 6.383 Å
α = 90.00°, β = 90.00°, γ = 90.00°
Space group P4/mmm (No. 123)
Asymmetric unit:
La (0.000, 0.000, 0.000) (multiplicity 1)
Mg (0.500, 0.500, 0.500) (multiplicity 1)
Se (0.000, 0.000, 0.500) (multiplicity 1)
N (0.000, 0.500, 0.000) (multiplicity 2)